VASP calculation (GGA-PBE) on a relaxed LaNd2Bi crystal.

## Properties
Spin magnetization: 0.964 μB/cell
Offset from the most stable computed form: 0.014 eV per atom

a = 4.2348 Å, b = 6.6288 Å, c = 10.4447 Å
α = 90.00°, β = 90.00°, γ = 108.63°
With the nearest neighbours (Å) after each atom.
Positions (direct):
Nd  0.3617  0.7244  0.5363  3 Bi 3.30-3.40, 3 Nd 3.54-3.61
Nd  0.3617  0.7244  0.9637  3 Bi 3.30-3.40, 3 Nd 3.54-3.61
Nd  0.6383  0.2756  0.0363  3 Bi 3.30-3.40, 3 Nd 3.54-3.61
Bi  0.2337  0.4663  0.2500  6 Nd 3.30-3.40, 3 La 3.39-3.63
La  0.0556  0.1121  0.7500  3 Bi 3.39-3.63
Bi  0.7663  0.5337  0.7500  6 Nd 3.30-3.40, 3 La 3.39-3.63
La  0.9444  0.8879  0.2500  3 Bi 3.39-3.63
Nd  0.6383  0.2756  0.4637  3 Bi 3.30-3.40, 3 Nd 3.54-3.61

VASP calculation (GGA-PBE) on a relaxed NbInHRu2 crystal.

## Properties
Spin magnetization: 0.000 μB/cell
Uncorrected energy: -6.944 eV/atom

a = 4.1913 Å, b = 4.1913 Å, c = 3.8727 Å
α = 90.00°, β = 90.00°, γ = 90.00°
With the nearest neighbours (Å) after each atom.
Positions (direct):
Ru  0.5000  0.0000  0.0000  2 H 2.10
Nb  0.0000  0.0000  0.5000  2 H 1.94
In  0.5000  0.5000  0.5000  8 Ru 2.85, 4 Nb 2.96
H  0.0000  0.0000  0.0000  2 Nb 1.94, 4 Ru 2.10
Ru  0.0000  0.5000  0.0000  2 H 2.10

VASP calculation (GGA-PBE) on a relaxed AcNdDy6Er2 crystal.

## Properties
Spin magnetization: 0.000 μB/cell
Uncorrected energy: -4.430 eV/atom

a = 9.5620 Å, b = 8.9027 Å, c = 8.9027 Å
α = 117.32°, β = 92.63°, γ = 92.63°
With the nearest neighbours (Å) after each atom.
Positions (direct):
Nd  0.7500  0.5895  0.4105  6 Dy 3.47-3.56, 4 Er 3.60-3.84
Dy  0.3838  0.5133  0.2901  4 Dy 3.22-3.51, 3 Er 3.29-3.47, 2 Nd 3.47-3.56
Er  0.4507  0.8004  0.6888  6 Dy 3.29-3.56, 2 Ac 3.45-3.57, 1 Nd 3.60
Ac  0.7500  0.0332  0.9668  4 Er 3.45-3.57, 6 Dy 3.64-3.83
Dy  0.8223  0.4455  0.9827  3 Dy 3.22-3.57, 2 Er 3.44-3.46, 1 Nd 3.53
Ac  0.2500  0.9668  0.0332  4 Er 3.45-3.57, 6 Dy 3.64-3.83
Nd  0.2500  0.4105  0.5895  6 Dy 3.47-3.56, 4 Er 3.60-3.84
Dy  0.4424  0.2488  0.8779  6 Dy 3.42-3.76, 1 Er 3.56, 2 Ac 3.82-3.83
Er  0.9507  0.6888  0.8004  6 Dy 3.29-3.56, 2 Ac 3.45-3.57, 1 Nd 3.60
Dy  0.1777  0.5545  0.0173  3 Dy 3.22-3.57, 2 Er 3.44-3.46, 1 Nd 3.53
Dy  0.8838  0.2901  0.5133  4 Dy 3.22-3.51, 3 Er 3.29-3.47, 2 Nd 3.47-3.56
Dy  0.0576  0.1221  0.7512  6 Dy 3.42-3.76, 1 Er 3.56, 2 Ac 3.82-3.83
Dy  0.6162  0.4867  0.7099  4 Dy 3.22-3.51, 3 Er 3.29-3.47, 2 Nd 3.47-3.56
Dy  0.5576  0.7512  0.1221  6 Dy 3.42-3.76, 1 Er 3.56, 2 Ac 3.82-3.83
Dy  0.1162  0.7099  0.4867  4 Dy 3.22-3.51, 3 Er 3.29-3.47, 2 Nd 3.47-3.56
Er  0.5493  0.1996  0.3112  6 Dy 3.29-3.56, 2 Ac 3.45-3.57, 1 Nd 3.60
Dy  0.6777  0.0173  0.5545  3 Dy 3.22-3.57, 2 Er 3.44-3.46, 1 Nd 3.53
Er  0.0493  0.3112  0.1996  6 Dy 3.29-3.56, 2 Ac 3.45-3.57, 1 Nd 3.60
Dy  0.3223  0.9827  0.4455  3 Dy 3.22-3.57, 2 Er 3.44-3.46, 1 Nd 3.53
Dy  0.9424  0.8779  0.2488  6 Dy 3.42-3.76, 1 Er 3.56, 2 Ac 3.82-3.83

> Which of these has the highest spin magnetization?

LaNd2Bi